1.
Computed, not measured: crystalline Mg2SbMo at its relaxed geometry at the GGA-PBE level of DFT.

Total DFT energy (no corrections): -15.801 eV per formula unit
Raw formation energy: 0.59 eV per atom

Lattice parameters (Å, degrees): 6.2473 6.2473 6.2473 101.02 101.02 128.14
Closest atoms and distances in Å follow each position.
Element x y z (fractional)
Mg: 0.1177 0.1250 0.4927  2 Mg 2.73, 2 Mo 2.85, 2 Sb 2.93
Mg: 0.3750 0.8823 0.0073  2 Mg 2.73, 2 Mo 2.85, 2 Sb 2.93
Mg: 0.6323 0.6250 0.5073  2 Mg 2.73, 2 Mo 2.85, 2 Sb 2.93
Mg: 0.8750 0.3677 0.9927  2 Mg 2.73, 2 Mo 2.85, 2 Sb 2.93
Sb: 0.2500 0.7500 0.5000  2 Mo 2.73, 4 Mg 2.93
Sb: 0.5000 0.5000 0.0000  2 Mo 2.73, 4 Mg 2.93
Mo: 0.0000 0.0000 0.0000  2 Sb 2.73, 4 Mg 2.85
Mo: 0.7500 0.2500 0.5000  2 Sb 2.73, 4 Mg 2.85

***

2.
Computed, not measured: crystalline MgSb3Mo at its relaxed geometry at the GGA-PBE level of DFT.

Distance to the lowest polymorph of the same formula: 0 kJ/mol of formula units
Total DFT energy (no corrections): -22.554 eV per formula unit
Raw formation energy: 0.45 eV per atom

Lattice parameters (Å, degrees): 5.2718 5.2718 5.2718 90.00 90.00 90.00
Closest atoms and distances in Å follow each position.
Element x y z (fractional)
Mg: 0.0000 0.0000 0.0000  12 Sb 3.73
Sb: 0.0000 0.5000 0.5000  2 Mo 2.64
Sb: 0.5000 0.0000 0.5000  2 Mo 2.64
Sb: 0.5000 0.5000 0.0000  2 Mo 2.64
Mo: 0.5000 0.5000 0.5000  6 Sb 2.64

***

Question: Which formula does entry 2 have?
Answer: MgSb3Mo

***

Question: What is the formula in the first record?
Answer: Mg2SbMo

***

Question: total DFT energy (no corrections) of number 1 (Mg2SbMo)?
Answer: -15.801 eV per formula unit

***

Please write out number 1 again, unchanged.
Computed, not measured: crystalline Mg2SbMo at its relaxed geometry at the GGA-PBE level of DFT.

Total DFT energy (no corrections): -15.801 eV per formula unit
Raw formation energy: 0.59 eV per atom

Lattice parameters (Å, degrees): 6.2473 6.2473 6.2473 101.02 101.02 128.14
Closest atoms and distances in Å follow each position.
Element x y z (fractional)
Mg: 0.1177 0.1250 0.4927  2 Mg 2.73, 2 Mo 2.85, 2 Sb 2.93
Mg: 0.3750 0.8823 0.0073  2 Mg 2.73, 2 Mo 2.85, 2 Sb 2.93
Mg: 0.6323 0.6250 0.5073  2 Mg 2.73, 2 Mo 2.85, 2 Sb 2.93
Mg: 0.8750 0.3677 0.9927  2 Mg 2.73, 2 Mo 2.85, 2 Sb 2.93
Sb: 0.2500 0.7500 0.5000  2 Mo 2.73, 4 Mg 2.93
Sb: 0.5000 0.5000 0.0000  2 Mo 2.73, 4 Mg 2.93
Mo: 0.0000 0.0000 0.0000  2 Sb 2.73, 4 Mg 2.85
Mo: 0.7500 0.2500 0.5000  2 Sb 2.73, 4 Mg 2.85